Entry from the Alexandria database: crystalline KTa2Ir at its relaxed geometry (PBE).

a b c (Å): 11.179 11.179 11.179
angles (deg): 15.01 15.01 15.01
Fractional positions:
Ir 0.250 0.250 0.250
K 0.750 0.750 0.750
Ta 0.984 0.984 0.984
Ta 0.516 0.516 0.516

Properties
Its formation energy from the elements is 520 meV/atom. As for the crystal system: trigonal.